Record 1
# PBE-GGA Ba2Tl6CdAu, optimized geometry
# E_tot, eV/f.u.: -22.6
# Formation enthalpy at 0 K, eV/atom: -0.040
data_Ba2Tl6CdAu
_symmetry_space_group_name_H-M 'F m -3 m'
_symmetry_Int_Tables_number 225
_symmetry_space_group_name_Hall '-F 4 2 3'
_cell_length_a 11.323
_cell_length_b 11.323
_cell_length_c 11.323
_cell_angle_alpha 90.00
_cell_angle_beta 90.00
_cell_angle_gamma 90.00
loop_
_atom_site_label
_atom_site_type_symbol
_atom_site_fract_x
_atom_site_fract_y
_atom_site_fract_z
Ba1 Ba 0.250 0.250 0.250
Tl1 Tl 0.000 0.000 0.247
Cd1 Cd 0.000 0.000 0.500
Au1 Au 0.000 0.000 0.000

Record 2
# PBE-GGA CsNpOsO6, optimized geometry
# E_tot, eV/f.u.: -72.7
# Uncorrected formation energy, eV/atom: -1.99
data_CsNpOsO6
_symmetry_space_group_name_H-M 'I m m a'
_symmetry_Int_Tables_number 74
_symmetry_space_group_name_Hall '-I 2b 2'
_cell_length_a 7.317
_cell_length_b 7.846
_cell_length_c 10.710
_cell_angle_alpha 90.00
_cell_angle_beta 90.00
_cell_angle_gamma 90.00
loop_
_atom_site_label
_atom_site_type_symbol
_atom_site_fract_x
_atom_site_fract_y
_atom_site_fract_z
Cs1 Cs 0.000 0.250 0.115
Np1 Np 0.000 0.000 0.500
Os1 Os 0.250 0.250 0.750
O1 O 0.000 0.250 0.425
O2 O 0.000 0.250 0.789
O3 O 0.205 0.073 0.623

Record 3
# PBE-GGA CrReAgAs2, optimized geometry
# E_tot, eV/f.u.: -29.1
# Formation enthalpy at 0 K, eV/atom: 1.030
data_CrReAgAs2
_symmetry_space_group_name_H-M 'P 4/m m m'
_symmetry_Int_Tables_number 123
_symmetry_space_group_name_Hall '-P 4 2'
_cell_length_a 4.557
_cell_length_b 4.557
_cell_length_c 4.639
_cell_angle_alpha 90.00
_cell_angle_beta 90.00
_cell_angle_gamma 90.00
loop_
_atom_site_label
_atom_site_type_symbol
_atom_site_fract_x
_atom_site_fract_y
_atom_site_fract_z
Cr1 Cr 0.000 0.000 0.000
Re1 Re 0.000 0.000 0.500
Ag1 Ag 0.500 0.500 0.500
As1 As 0.000 0.500 0.000

Record 4
# PBE-GGA MgCoSb2I, optimized geometry
# E_tot, eV/f.u.: -13.3
# Uncorrected formation energy, eV/atom: 1.04
data_MgCoSb2I
_symmetry_space_group_name_H-M 'P 4/m m m'
_symmetry_Int_Tables_number 123
_symmetry_space_group_name_Hall '-P 4 2'
_cell_length_a 5.381
_cell_length_b 5.381
_cell_length_c 5.573
_cell_angle_alpha 90.00
_cell_angle_beta 90.00
_cell_angle_gamma 90.00
loop_
_atom_site_label
_atom_site_type_symbol
_atom_site_fract_x
_atom_site_fract_y
_atom_site_fract_z
Mg1 Mg 0.000 0.000 0.000
Co1 Co 0.500 0.500 0.500
Sb1 Sb 0.000 0.500 0.000
I1 I 0.000 0.000 0.500

Record 5
# PBE-GGA Hf2Zr8Pa, optimized geometry
# E_tot, eV/f.u.: -97.0
# Formation enthalpy at 0 K, eV/atom: 0.072
data_Hf2Zr8Pa
_symmetry_space_group_name_H-M 'P -1'
_symmetry_Int_Tables_number 2
_symmetry_space_group_name_Hall '-P 1'
_cell_length_a 5.389
_cell_length_b 6.034
_cell_length_c 8.843
_cell_angle_alpha 90.20
_cell_angle_beta 90.56
_cell_angle_gamma 116.47
loop_
_atom_site_label
_atom_site_type_symbol
_atom_site_fract_x
_atom_site_fract_y
_atom_site_fract_z
Hf1 Hf 0.114 0.103 0.296
Zr1 Zr 0.193 0.273 0.954
Zr2 Zr 0.239 0.442 0.588
Zr3 Zr 0.277 0.648 0.230
Zr4 Zr 0.343 0.808 0.870
Pa1 Pa 0.500 0.000 0.500

Record 6
# PBE-GGA BeAgSb, optimized geometry
# E_tot, eV/f.u.: -9.9
# Uncorrected formation energy, eV/atom: 0.28
data_BeAgSb
_symmetry_space_group_name_H-M 'P 4/n m m'
_symmetry_Int_Tables_number 129
_cell_length_a 4.018
_cell_length_b 4.018
_cell_length_c 7.205
_cell_angle_alpha 90.00
_cell_angle_beta 90.00
_cell_angle_gamma 90.00
loop_
_symmetry_equiv_pos_as_xyz
'x,y,z'
'-x,-y,-z'
'-y+1/2,x,z'
'y+1/2,-x,-z'
'-x+1/2,-y+1/2,z'
'x+1/2,y+1/2,-z'
'y,-x+1/2,z'
'-y,x+1/2,-z'
'x+1/2,-y,-z'
'-x+1/2,y,z'
'-y,-x,-z'
'y,x,z'
'-x,y+1/2,-z'
'x,-y+1/2,z'
'y+1/2,x+1/2,-z'
'-y+1/2,-x+1/2,z'
loop_
_atom_site_label
_atom_site_type_symbol
_atom_site_fract_x
_atom_site_fract_y
_atom_site_fract_z
Be1 Be 0.250 0.750 0.000
Ag1 Ag 0.250 0.250 0.403
Sb1 Sb 0.250 0.250 0.789

Copy entry 6 word for word.
# PBE-GGA BeAgSb, optimized geometry
# E_tot, eV/f.u.: -9.9
# Uncorrected formation energy, eV/atom: 0.28
data_BeAgSb
_symmetry_space_group_name_H-M 'P 4/n m m'
_symmetry_Int_Tables_number 129
_cell_length_a 4.018
_cell_length_b 4.018
_cell_length_c 7.205
_cell_angle_alpha 90.00
_cell_angle_beta 90.00
_cell_angle_gamma 90.00
loop_
_symmetry_equiv_pos_as_xyz
'x,y,z'
'-x,-y,-z'
'-y+1/2,x,z'
'y+1/2,-x,-z'
'-x+1/2,-y+1/2,z'
'x+1/2,y+1/2,-z'
'y,-x+1/2,z'
'-y,x+1/2,-z'
'x+1/2,-y,-z'
'-x+1/2,y,z'
'-y,-x,-z'
'y,x,z'
'-x,y+1/2,-z'
'x,-y+1/2,z'
'y+1/2,x+1/2,-z'
'-y+1/2,-x+1/2,z'
loop_
_atom_site_label
_atom_site_type_symbol
_atom_site_fract_x
_atom_site_fract_y
_atom_site_fract_z
Be1 Be 0.250 0.750 0.000
Ag1 Ag 0.250 0.250 0.403
Sb1 Sb 0.250 0.250 0.789